(1)
A relaxed Tb4HoTh5 crystal, computed with PBE.

```
10
Lattice="-1.171 -2.722 -1.756 8.295 1.217 -7.418 7.407 -3.419 3.736" Properties=species:S:1:pos:R:3 pbc="T T T"
Tb 4.883 -2.789 1.066
Tb 11.661 -4.267 -4.542
Tb 9.648 -2.134 -6.505
Tb 2.870 -0.657 -0.897
Ho -0.586 -1.361 -0.878
Th 8.467 -3.533 -3.549
Th 7.194 -4.741 -0.828
Th 7.336 -0.182 -4.611
Th 3.562 -0.752 -4.587
Th 6.064 -1.390 -1.890
```

For the energy of formation from the pure elements, the calculation gives 132 meV/atom. As for the final energy: -5.89 eV/atom. As for the mass density: 10.05 Mg/m³.

---

(2)
A relaxed Dy4Th3Sc2 crystal, computed with PBE.

```
9
Lattice="3.499 0.000 0.000 -1.750 3.030 0.000 0.000 0.000 25.913" Properties=species:S:1:pos:R:3 pbc="T T T"
Dy 0.000 0.000 14.109
Dy 1.750 1.010 5.397
Dy 1.750 1.010 11.211
Dy 0.000 0.000 19.998
Th 0.000 0.000 25.470
Th 0.000 0.000 8.246
Th 1.750 1.010 17.035
Sc 1.750 1.010 2.236
Sc 1.750 1.010 22.679
```

For the energy of formation from the pure elements, the calculation gives 103 meV/atom. As for the final energy: -5.82 eV/atom. As for the mass density: 8.68 Mg/m³.

---

(3)
A relaxed PrDyY3 crystal, computed with PBE.

```
10
Lattice="5.743 0.000 0.000 0.000 6.164 -1.363 0.000 -1.061 9.606" Properties=species:S:1:pos:R:3 pbc="T T T"
Pr 5.296 2.179 3.215
Pr 2.424 0.764 1.619
Dy 5.296 -0.503 5.678
Dy 2.424 2.385 8.762
Y 2.424 1.554 5.246
Y 5.296 2.986 6.764
Y 5.296 0.327 9.194
Y 5.296 4.865 0.702
Y 2.424 5.059 6.312
Y 2.424 4.241 2.768
```

For the energy of formation from the pure elements, the calculation gives 11 meV/atom. As for the final energy: -5.74 eV/atom. As for the mass density: 5.71 Mg/m³.

---

(4)
A relaxed Sm2ZrSc crystal, computed with PBE.

```
4
Lattice="-1.376 3.075 0.591 -1.217 1.858 -2.602 -10.797 -3.049 0.624" Properties=species:S:1:pos:R:3 pbc="T T T"
Sc -6.695 0.942 -0.693
Zr 0.000 0.000 0.000
Sm -10.091 1.390 -1.033
Sm -3.299 0.494 -0.353
```

For the energy of formation from the pure elements, the calculation gives 124 meV/atom. As for the final energy: -5.96 eV/atom. As for the mass density: 6.47 Mg/m³.

---

(5)
A relaxed MgNpIrAu crystal, computed with PBE.

```
4
Lattice="4.804 0.000 0.000 2.402 4.160 0.000 2.402 1.387 3.922" Properties=species:S:1:pos:R:3 pbc="T T T"
Np 7.206 4.160 2.942
Mg 2.402 1.387 0.981
Ir 0.000 0.000 0.000
Au 4.804 2.773 1.961
```

For the energy of formation from the pure elements, the calculation gives -219 meV/atom. As for the final energy: -6.89 eV/atom. As for the mass density: 13.78 Mg/m³.

---

(6)
A relaxed CePmNp2S4 crystal, computed with PBE.

```
8
Lattice="-0.906 0.767 3.785 -6.691 -0.740 -1.452 2.619 -6.053 1.853" Properties=species:S:1:pos:R:3 pbc="T T T"
Ce -3.798 0.013 1.167
Pm 0.000 0.000 0.000
Np 0.856 -2.643 2.819
Np -2.036 -3.397 0.201
S -1.469 -1.385 2.008
S -3.509 -4.641 2.179
S 0.287 -4.652 1.011
S -4.359 -2.142 -0.610
```

As for the final energy: -8.35 eV/atom. As for the mass density: 8.35 Mg/m³.

---

(7)
A relaxed TlCrS4 crystal, computed with PBE.

```
12
Lattice="6.794 0.753 -0.983 -1.927 6.518 -3.125 0.397 -0.659 7.442" Properties=species:S:1:pos:R:3 pbc="T T T"
Tl 1.242 2.164 3.317
Tl 4.021 4.449 0.017
Cr 3.275 6.754 -3.378
Cr 1.988 -0.141 6.711
S 6.243 2.224 -1.233
S 5.142 6.510 -1.926
S 2.018 5.999 2.260
S 3.245 0.614 1.074
S -0.979 4.389 4.567
S 3.265 1.439 5.476
S 1.999 5.173 -2.143
S 0.122 0.103 5.260
```

As for the final energy: -5.04 eV/atom. As for the mass density: 3.91 Mg/m³.

---

(8)
A relaxed InGaAg3 crystal, computed with PBE.

```
20
Lattice="-2.978 -3.998 3.692 5.121 -5.042 -1.329 3.230 3.918 6.848" Properties=species:S:1:pos:R:3 pbc="T T T"
In 2.909 -4.111 4.519
In 2.463 -1.011 4.693
In 1.281 -0.547 9.454
In 4.091 -4.575 -0.242
Ga 1.861 1.928 4.819
Ga 3.352 -1.514 7.506
Ga 3.511 -7.050 4.393
Ga 2.020 -3.608 1.705
Ag 0.986 -3.096 6.597
Ag 2.694 -6.552 1.562
Ag 5.158 -2.385 5.470
Ag 3.655 -4.285 7.412
Ag 0.214 -2.737 3.742
Ag 4.386 -2.026 2.615
Ag 4.681 0.532 5.746
Ag 0.691 -5.654 3.466
Ag 2.678 1.430 7.650
Ag 1.717 -0.837 1.800
Ag 4.934 -4.878 2.516
Ag 0.438 -0.244 6.696
```

For the energy of formation from the pure elements, the calculation gives 17 meV/atom. As for the final energy: -2.85 eV/atom. As for the mass density: 8.91 Mg/m³.

---

(9)
A relaxed GdHoCdRh crystal, computed with PBE.

```
4
Lattice="-2.196 -3.542 -2.886 2.853 -3.390 -2.462 0.022 -4.848 1.481" Properties=species:S:1:pos:R:3 pbc="T T T"
Gd 0.000 0.000 0.000
Rh 0.170 -2.945 -0.967
Ho 0.340 -5.889 -1.934
Cd 0.510 -8.834 -2.901
```

For the energy of formation from the pure elements, the calculation gives -517 meV/atom. As for the final energy: -7.25 eV/atom. As for the mass density: 9.69 Mg/m³.

---

(10)
A relaxed Rb3TlPb4 crystal, computed with PBE.

```
16
Lattice="-3.786 3.348 5.226 -5.559 -4.403 -1.206 5.058 -8.962 9.406" Properties=species:S:1:pos:R:3 pbc="T T T"
Pb 0.534 -9.098 9.301
Pb -3.345 -2.225 2.087
Pb -1.453 -0.865 -0.043
Pb -4.447 -3.236 -0.692
Pb -5.148 -4.502 8.812
Pb -2.583 -2.470 9.368
Pb -0.691 -1.110 7.238
Pb 0.488 -3.199 9.431
Tl -5.403 0.118 3.018
Tl 1.366 -3.453 6.308
Rb -2.079 1.839 2.870
Rb -1.957 -5.174 6.456
Rb -2.103 -6.154 10.706
Rb -4.603 -1.725 6.058
Rb 3.125 -6.143 8.025
Rb 0.566 -1.610 3.268
```

For the energy of formation from the pure elements, the calculation gives -146 meV/atom. As for the final energy: -2.66 eV/atom. As for the mass density: 5.87 Mg/m³.

---

(11)
A relaxed BaSi2Os crystal, computed with PBE.

```
4
Lattice="-3.261 -0.517 -2.710 2.255 -2.928 -2.155 -1.691 -3.258 2.657" Properties=species:S:1:pos:R:3 pbc="T T T"
Ba -2.476 -1.888 -0.027
Os 0.282 -3.093 0.251
Si 0.000 0.000 0.000
Si -0.503 -1.723 -2.433
```

As for the final energy: -5.01 eV/atom. As for the mass density: 7.69 Mg/m³.

---

(12)
A relaxed CdGe crystal, computed with PBE.

```
12
Lattice="-1.490 3.413 6.602 -7.404 -1.270 -1.015 0.649 -6.648 3.583" Properties=species:S:1:pos:R:3 pbc="T T T"
Cd -0.048 -2.471 3.442
Cd -0.793 -0.764 6.744
Cd -3.540 -2.297 0.388
Cd -3.215 -5.621 2.180
Cd -2.596 1.389 3.047
Cd -6.298 0.754 2.540
Ge -4.075 0.219 1.143
Ge -4.820 1.925 4.444
Ge -0.583 0.045 4.197
Ge -0.259 -3.280 5.989
Ge -1.527 -3.642 1.538
Ge -5.229 -4.276 1.030
```

For the energy of formation from the pure elements, the calculation gives 575 meV/atom. As for the final energy: -2.19 eV/atom. As for the mass density: 4.23 Mg/m³.